Arrangement 1

Computed, not measured: LaTaGa2P after structural relaxation at the PBE level of DFT.

Structure (CIF):
```
data_LaTaGa2P
_chemical_formula_sum 'La1 Ta1 Ga2 P1'
_symmetry_space_group_name_H-M 'P 1'
_symmetry_Int_Tables_number 1
_cell_length_a 5.007
_cell_length_b 5.465
_cell_length_c 5.007
_cell_angle_alpha 90.00
_cell_angle_beta 90.00
_cell_angle_gamma 90.00
loop_
_symmetry_equiv_pos_as_xyz
'x,y,z'
loop_
_atom_site_label
_atom_site_fract_x
_atom_site_fract_y
_atom_site_fract_z
P1 0.500 0.500 0.500
La1 0.000 0.500 0.000
Ga1 0.000 0.000 0.500
Ga2 0.500 0.000 0.000
Ta1 0.000 0.000 0.000
```

Results
Density of states at the Fermi level = 4.2 states/eV/cell


Arrangement 2

Computed, not measured: LaTaGa2P after structural relaxation at the PBE level of DFT.

Structure (CIF):
```
data_LaTaGa2P
_chemical_formula_sum 'La1 Ta1 Ga2 P1'
_symmetry_space_group_name_H-M 'P 1'
_symmetry_Int_Tables_number 1
_cell_length_a 5.022
_cell_length_b 4.775
_cell_length_c 5.022
_cell_angle_alpha 90.00
_cell_angle_beta 90.00
_cell_angle_gamma 90.00
loop_
_symmetry_equiv_pos_as_xyz
'x,y,z'
loop_
_atom_site_label
_atom_site_fract_x
_atom_site_fract_y
_atom_site_fract_z
P1 0.000 0.000 0.000
La1 0.500 0.500 0.500
Ga1 0.000 0.000 0.500
Ga2 0.500 0.000 0.000
Ta1 0.000 0.500 0.000
```

Results
Density of states at the Fermi level = 4.5 states/eV/cell


The most stable arrangement is arrangement 2, and the next structure is 464 meV per atom less stable.


Arrangement 1

Computed, not measured: LaPaGa2 after structural relaxation at the PBE level of DFT.

Structure (CIF):
```
data_LaPaGa2
_chemical_formula_sum 'La1 Pa1 Ga2'
_symmetry_space_group_name_H-M 'P 1'
_symmetry_Int_Tables_number 1
_cell_length_a 5.179
_cell_length_b 5.179
_cell_length_c 5.179
_cell_angle_alpha 60.00
_cell_angle_beta 60.00
_cell_angle_gamma 60.00
loop_
_symmetry_equiv_pos_as_xyz
'x,y,z'
loop_
_atom_site_label
_atom_site_fract_x
_atom_site_fract_y
_atom_site_fract_z
Pa1 0.000 0.000 0.000
Ga1 0.250 0.250 0.250
Ga2 0.750 0.750 0.750
La1 0.500 0.500 0.500
```

Results
Density of states at the Fermi level = 6.7 states/eV/cell


Arrangement 2

Computed, not measured: LaPaGa2 after structural relaxation at the PBE level of DFT.

Structure (CIF):
```
data_LaPaGa2
_chemical_formula_sum 'La1 Pa1 Ga2'
_symmetry_space_group_name_H-M 'P 1'
_symmetry_Int_Tables_number 1
_cell_length_a 4.205
_cell_length_b 4.737
_cell_length_c 4.737
_cell_angle_alpha 90.00
_cell_angle_beta 90.00
_cell_angle_gamma 90.00
loop_
_symmetry_equiv_pos_as_xyz
'x,y,z'
loop_
_atom_site_label
_atom_site_fract_x
_atom_site_fract_y
_atom_site_fract_z
Pa1 0.500 0.500 0.500
Ga1 0.000 0.000 0.500
Ga2 0.000 0.500 0.000
La1 0.500 0.000 0.000
```

Results
Density of states at the Fermi level = 4.9 states/eV/cell


Arrangement 3

Computed, not measured: LaPaGa2 after structural relaxation at the PBE level of DFT.

Structure (CIF):
```
data_LaPaGa2
_chemical_formula_sum 'La1 Pa1 Ga2'
_symmetry_space_group_name_H-M 'P 1'
_symmetry_Int_Tables_number 1
_cell_length_a 3.323
_cell_length_b 3.323
_cell_length_c 8.572
_cell_angle_alpha 90.00
_cell_angle_beta 90.00
_cell_angle_gamma 90.00
loop_
_symmetry_equiv_pos_as_xyz
'x,y,z'
loop_
_atom_site_label
_atom_site_fract_x
_atom_site_fract_y
_atom_site_fract_z
Pa1 0.500 0.500 0.000
Ga1 0.000 0.000 0.763
Ga2 0.000 0.000 0.237
La1 0.500 0.500 0.500
```

Results
Density of states at the Fermi level = 5.5 states/eV/cell


The most stable arrangement is arrangement 3, and the next structure is 71 meV per atom less stable.


Arrangement 1

Computed, not measured: LaPa2Ga after structural relaxation at the PBE level of DFT.

Structure (CIF):
```
data_LaPa2Ga
_chemical_formula_sum 'La1 Pa2 Ga1'
_symmetry_space_group_name_H-M 'P 1'
_symmetry_Int_Tables_number 1
_cell_length_a 4.949
_cell_length_b 4.492
_cell_length_c 4.492
_cell_angle_alpha 90.00
_cell_angle_beta 90.00
_cell_angle_gamma 90.00
loop_
_symmetry_equiv_pos_as_xyz
'x,y,z'
loop_
_atom_site_label
_atom_site_fract_x
_atom_site_fract_y
_atom_site_fract_z
Pa1 0.000 0.000 0.500
Pa2 0.000 0.500 0.000
Ga1 0.500 0.500 0.500
La1 0.500 0.000 0.000
```

Results
Density of states at the Fermi level = 8.4 states/eV/cell


Arrangement 2

Computed, not measured: LaPa2Ga after structural relaxation at the PBE level of DFT.

Structure (CIF):
```
data_LaPa2Ga
_chemical_formula_sum 'La1 Pa2 Ga1'
_symmetry_space_group_name_H-M 'P 1'
_symmetry_Int_Tables_number 1
_cell_length_a 3.168
_cell_length_b 3.168
_cell_length_c 11.673
_cell_angle_alpha 82.20
_cell_angle_beta 82.20
_cell_angle_gamma 60.00
loop_
_symmetry_equiv_pos_as_xyz
'x,y,z'
loop_
_atom_site_label
_atom_site_fract_x
_atom_site_fract_y
_atom_site_fract_z
Pa1 0.093 0.093 0.720
Pa2 0.907 0.907 0.280
Ga1 0.500 0.500 0.500
La1 0.000 0.000 0.000
```

Results
Density of states at the Fermi level = 6.0 states/eV/cell


The most stable arrangement is arrangement 1, and the next structure is 107 meV per atom less stable.


Arrangement 1

Computed, not measured: LaPaGa4 after structural relaxation at the PBE level of DFT.

Structure (CIF):
```
data_LaPaGa4
_chemical_formula_sum 'La1 Pa1 Ga4'
_symmetry_space_group_name_H-M 'P 1'
_symmetry_Int_Tables_number 1
_cell_length_a 5.606
_cell_length_b 5.606
_cell_length_c 5.606
_cell_angle_alpha 60.00
_cell_angle_beta 60.00
_cell_angle_gamma 60.00
loop_
_symmetry_equiv_pos_as_xyz
'x,y,z'
loop_
_atom_site_label
_atom_site_fract_x
_atom_site_fract_y
_atom_site_fract_z
Pa1 0.250 0.250 0.250
Ga1 0.624 0.624 0.128
Ga2 0.624 0.128 0.624
Ga3 0.624 0.624 0.624
Ga4 0.128 0.624 0.624
La1 0.000 0.000 0.000
```

Results
Density of states at the Fermi level = 6.8 states/eV/cell


Arrangement 2

Computed, not measured: LaPaGa4 after structural relaxation at the PBE level of DFT.

Structure (CIF):
```
data_LaPaGa4
_chemical_formula_sum 'La1 Pa1 Ga4'
_symmetry_space_group_name_H-M 'P 1'
_symmetry_Int_Tables_number 1
_cell_length_a 4.183
_cell_length_b 4.270
_cell_length_c 7.425
_cell_angle_alpha 90.00
_cell_angle_beta 90.00
_cell_angle_gamma 90.00
loop_
_symmetry_equiv_pos_as_xyz
'x,y,z'
loop_
_atom_site_label
_atom_site_fract_x
_atom_site_fract_y
_atom_site_fract_z
La1 0.999 0.997 0.498
Pa1 0.999 0.497 0.998
Ga1 0.499 0.997 0.160
Ga2 0.499 0.997 0.836
Ga3 0.499 0.497 0.670
Ga4 0.499 0.497 0.326
```

Results
Density of states at the Fermi level = 4.8 states/eV/cell


The most stable arrangement is arrangement 2, and the next structure is 128 meV per atom less stable.


Arrangement 1

Computed, not measured: La4GaPb after structural relaxation at the PBE level of DFT.

Structure (CIF):
```
data_La4GaPb
_chemical_formula_sum 'La4 Ga1 Pb1'
_symmetry_space_group_name_H-M 'P 1'
_symmetry_Int_Tables_number 1
_cell_length_a 5.369
_cell_length_b 7.411
_cell_length_c 5.371
_cell_angle_alpha 89.68
_cell_angle_beta 90.00
_cell_angle_gamma 90.00
loop_
_symmetry_equiv_pos_as_xyz
'x,y,z'
loop_
_atom_site_label
_atom_site_fract_x
_atom_site_fract_y
_atom_site_fract_z
La1 0.500 0.777 0.998
La2 0.500 0.223 0.002
La3 0.000 0.223 0.499
La4 0.000 0.777 0.501
Ga1 0.000 0.000 0.000
Pb1 0.500 0.500 0.500
```

Results
Density of states at the Fermi level = 5.9 states/eV/cell


Arrangement 2

Computed, not measured: La4GaPb after structural relaxation at the PBE level of DFT.

Structure (CIF):
```
data_La4GaPb
_chemical_formula_sum 'La8 Ga2 Pb2'
_symmetry_space_group_name_H-M 'P 1'
_symmetry_Int_Tables_number 1
_cell_length_a 6.311
_cell_length_b 8.987
_cell_length_c 8.516
_cell_angle_alpha 113.97
_cell_angle_beta 101.41
_cell_angle_gamma 109.11
loop_
_symmetry_equiv_pos_as_xyz
'x,y,z'
loop_
_atom_site_label
_atom_site_fract_x
_atom_site_fract_y
_atom_site_fract_z
La1 0.070 0.220 0.829
La2 0.769 0.707 0.635
La3 0.259 0.609 0.829
La4 0.365 0.928 0.635
La5 0.635 0.072 0.365
La6 0.741 0.391 0.171
La7 0.231 0.293 0.365
La8 0.930 0.780 0.171
Ga1 0.251 0.001 0.002
Ga2 0.749 0.999 0.998
Pb1 0.368 0.618 0.237
Pb2 0.632 0.382 0.763
```

Results
Density of states at the Fermi level = 13.8 states/eV/cell


The most stable arrangement is arrangement 2, and the next structure is 109 meV per atom less stable.


Arrangement 1

Computed, not measured: LaGaPb after structural relaxation at the PBE level of DFT.

Structure (CIF):
```
data_LaGaPb
_chemical_formula_sum 'La1 Ga1 Pb1'
_symmetry_space_group_name_H-M 'P 1'
_symmetry_Int_Tables_number 1
_cell_length_a 4.674
_cell_length_b 4.603
_cell_length_c 4.603
_cell_angle_alpha 120.00
_cell_angle_beta 90.00
_cell_angle_gamma 90.00
loop_
_symmetry_equiv_pos_as_xyz
'x,y,z'
loop_
_atom_site_label
_atom_site_fract_x
_atom_site_fract_y
_atom_site_fract_z
Pb1 0.262 0.333 0.667
Ga1 0.038 0.000 0.000
La1 0.701 0.667 0.333
```

Results
Density of states at the Fermi level = 0.2 states/eV/cell


Arrangement 2

Computed, not measured: LaGaPb after structural relaxation at the PBE level of DFT.

Structure (CIF):
```
data_LaGaPb
_chemical_formula_sum 'La1 Ga1 Pb1'
_symmetry_space_group_name_H-M 'P 1'
_symmetry_Int_Tables_number 1
_cell_length_a 3.750
_cell_length_b 3.750
_cell_length_c 6.463
_cell_angle_alpha 106.86
_cell_angle_beta 106.86
_cell_angle_gamma 90.00
loop_
_symmetry_equiv_pos_as_xyz
'x,y,z'
loop_
_atom_site_label
_atom_site_fract_x
_atom_site_fract_y
_atom_site_fract_z
Pb1 0.925 0.925 0.850
Ga1 0.297 0.297 0.594
La1 0.628 0.628 0.256
```

Results
Density of states at the Fermi level = 2.3 states/eV/cell


Arrangement 3

Computed, not measured: LaGaPb after structural relaxation at the PBE level of DFT.

Structure (CIF):
```
data_LaGaPb
_chemical_formula_sum 'La6 Ga6 Pb6'
_symmetry_space_group_name_H-M 'P 1'
_symmetry_Int_Tables_number 1
_cell_length_a 6.913
_cell_length_b 6.913
_cell_length_c 13.606
_cell_angle_alpha 90.00
_cell_angle_beta 90.00
_cell_angle_gamma 120.00
loop_
_symmetry_equiv_pos_as_xyz
'x,y,z'
loop_
_atom_site_label
_atom_site_fract_x
_atom_site_fract_y
_atom_site_fract_z
Pb1 0.500 0.000 0.667
Pb2 0.000 0.000 0.500
Pb3 0.000 0.000 0.833
Pb4 0.000 0.000 0.167
Pb5 0.500 0.500 0.000
Pb6 0.000 0.500 0.333
Ga1 0.399 0.798 0.167
Ga2 0.798 0.399 0.833
Ga3 0.601 0.399 0.500
Ga4 0.601 0.202 0.167
Ga5 0.399 0.601 0.500
Ga6 0.202 0.601 0.833
La1 0.500 0.500 0.284
La2 0.000 0.500 0.618
La3 0.500 0.500 0.716
La4 0.000 0.500 0.049
La5 0.500 0.000 0.951
La6 0.500 0.000 0.382
```

Results
Density of states at the Fermi level = 13.4 states/eV/cell


The most stable arrangement is arrangement 1, and the next structure is 213 meV per atom less stable.


Arrangement 1

Computed, not measured: La2Ga2Pb after structural relaxation at the PBE level of DFT.

Structure (CIF):
```
data_La2Ga2Pb
_chemical_formula_sum 'La2 Ga2 Pb1'
_symmetry_space_group_name_H-M 'P 1'
_symmetry_Int_Tables_number 1
_cell_length_a 4.411
_cell_length_b 4.246
_cell_length_c 7.675
_cell_angle_alpha 106.06
_cell_angle_beta 90.00
_cell_angle_gamma 90.00
loop_
_symmetry_equiv_pos_as_xyz
'x,y,z'
loop_
_atom_site_label
_atom_site_fract_x
_atom_site_fract_y
_atom_site_fract_z
La1 0.500 0.630 0.260
La2 0.500 0.370 0.740
Ga1 0.000 0.204 0.408
Ga2 0.000 0.796 0.592
Pb1 0.000 0.000 0.000
```

Results
Density of states at the Fermi level = 3.7 states/eV/cell


Arrangement 2

Computed, not measured: La2Ga2Pb after structural relaxation at the PBE level of DFT.

Structure (CIF):
```
data_La2Ga2Pb
_chemical_formula_sum 'La4 Ga4 Pb2'
_symmetry_space_group_name_H-M 'P 1'
_symmetry_Int_Tables_number 1
_cell_length_a 7.685
_cell_length_b 7.685
_cell_length_c 4.654
_cell_angle_alpha 90.00
_cell_angle_beta 90.00
_cell_angle_gamma 90.00
loop_
_symmetry_equiv_pos_as_xyz
'x,y,z'
loop_
_atom_site_label
_atom_site_fract_x
_atom_site_fract_y
_atom_site_fract_z
Pb1 0.000 0.000 0.000
Pb2 0.500 0.500 0.000
Ga1 0.379 0.879 0.000
Ga2 0.879 0.621 0.000
Ga3 0.621 0.121 0.000
Ga4 0.121 0.379 0.000
La1 0.173 0.673 0.500
La2 0.673 0.827 0.500
La3 0.827 0.327 0.500
La4 0.327 0.173 0.500
```

Results
Density of states at the Fermi level = 3.7 states/eV/cell


The most stable arrangement is arrangement 1, and the next structure is 13 meV per atom less stable.


Arrangement 1

Computed, not measured: La2Ga2Pb after structural relaxation at the PBE level of DFT.

Structure (CIF):
```
data_La2Ga2Pb
_chemical_formula_sum 'La4 Ga4 Pb2'
_symmetry_space_group_name_H-M 'P 1'
_symmetry_Int_Tables_number 1
_cell_length_a 4.623
_cell_length_b 6.382
_cell_length_c 10.636
_cell_angle_alpha 82.76
_cell_angle_beta 77.45
_cell_angle_gamma 68.77
loop_
_symmetry_equiv_pos_as_xyz
'x,y,z'
loop_
_atom_site_label
_atom_site_fract_x
_atom_site_fract_y
_atom_site_fract_z
La1 0.708 0.245 0.338
La2 0.902 0.289 0.907
La3 0.292 0.755 0.662
La4 0.098 0.711 0.093
Ga1 0.983 0.419 0.615
Ga2 0.624 0.855 0.897
Ga3 0.017 0.581 0.385
Ga4 0.376 0.145 0.103
Pb1 0.589 0.154 0.667
Pb2 0.411 0.846 0.333
```

Results
Density of states at the Fermi level = 6.3 states/eV/cell


Arrangement 2

Computed, not measured: La2Ga2Pb after structural relaxation at the PBE level of DFT.

Structure (CIF):
```
data_La2Ga2Pb
_chemical_formula_sum 'La2 Ga2 Pb1'
_symmetry_space_group_name_H-M 'P 1'
_symmetry_Int_Tables_number 1
_cell_length_a 5.076
_cell_length_b 5.076
_cell_length_c 6.917
_cell_angle_alpha 68.48
_cell_angle_beta 68.48
_cell_angle_gamma 90.00
loop_
_symmetry_equiv_pos_as_xyz
'x,y,z'
loop_
_atom_site_label
_atom_site_fract_x
_atom_site_fract_y
_atom_site_fract_z
Pb1 0.000 0.000 0.000
Ga1 0.400 0.400 0.200
Ga2 0.600 0.600 0.800
La1 0.750 0.250 0.500
La2 0.250 0.750 0.500
```

Results
Density of states at the Fermi level = 4.6 states/eV/cell


The most stable arrangement is arrangement 1, and the next structure is 382 meV per atom less stable.